(1)
VASP calculation (PBE) on LuN after structural relaxation.

Results
Energy relative to the elements, uncorrected, kJ per mole of atoms: -181.6
DFT total energy, eV per cell: -16.61
Crystal system: cubic

Cell lengths 3.363, 3.363, 3.363 Å; angles 60.00, 60.00, 60.00 degrees
Atoms (fractional coordinates):
N (0.500, 0.500, 0.500)
Lu (0.000, 0.000, 0.000)

(2)
VASP calculation (PBE) on Lu3N after structural relaxation.

Results
Energy relative to the elements, uncorrected, kJ per mole of atoms: -47.7
DFT total energy, eV per cell: -23.86
Crystal system: orthorhombic

Cell lengths 3.123, 3.257, 8.631 Å; angles 90.00, 90.00, 90.00 degrees
Atoms (fractional coordinates):
Lu (0.500, 0.000, 0.779)
N (0.000, 0.000, 0.995)
Lu (0.000, 0.500, 0.469)
Lu (0.500, 0.500, 0.091)

(3)
VASP calculation (PBE) on Lu3Nb5N12 after structural relaxation.

Results
Energy relative to the elements, uncorrected, kJ per mole of atoms: -87.1
DFT total energy, eV per cell: -727.52
Crystal system: cubic

Cell lengths 11.115, 11.115, 11.115 Å; angles 109.47, 109.47, 109.47 degrees
Atoms (fractional coordinates):
Nb (0.875, 0.625, 0.750)
Nb (0.500, 0.000, 0.000)
N (0.790, 0.468, 0.377)
N (0.913, 0.822, 0.790)
N (0.532, 0.210, 0.123)
N (0.123, 0.413, 0.091)
N (0.210, 0.678, 0.087)
Nb (0.500, 0.500, 0.000)
Lu (0.625, 0.250, 0.375)
N (0.968, 0.591, 0.178)
Nb (0.500, 0.000, 0.500)
N (0.032, 0.409, 0.822)
N (0.623, 0.591, 0.913)
N (0.377, 0.968, 0.790)
N (0.710, 0.587, 0.178)
Lu (0.125, 0.875, 0.750)
Nb (0.000, 0.000, 0.000)
Lu (0.875, 0.750, 0.125)
N (0.377, 0.409, 0.087)
N (0.087, 0.909, 0.377)
N (0.710, 0.123, 0.032)
Nb (0.000, 0.500, 0.000)
Lu (0.250, 0.125, 0.375)
N (0.413, 0.123, 0.591)
Lu (0.750, 0.875, 0.625)
N (0.409, 0.032, 0.322)
N (0.532, 0.322, 0.909)
N (0.032, 0.623, 0.710)
Nb (0.750, 0.125, 0.875)
Nb (0.000, 0.000, 0.500)
N (0.322, 0.790, 0.413)
N (0.210, 0.532, 0.623)
Nb (0.250, 0.375, 0.625)
N (0.178, 0.091, 0.968)
N (0.091, 0.178, 0.468)
N (0.790, 0.322, 0.913)
N (0.968, 0.377, 0.290)
N (0.822, 0.913, 0.290)
N (0.913, 0.091, 0.623)
N (0.591, 0.623, 0.413)
Lu (0.125, 0.250, 0.875)
N (0.877, 0.290, 0.468)
Lu (0.625, 0.375, 0.750)
Lu (0.375, 0.750, 0.625)
N (0.413, 0.290, 0.322)
N (0.468, 0.790, 0.877)
Nb (0.625, 0.750, 0.875)
Nb (0.500, 0.500, 0.500)
N (0.178, 0.087, 0.710)
N (0.409, 0.377, 0.587)
N (0.822, 0.909, 0.032)
N (0.290, 0.877, 0.968)
N (0.587, 0.877, 0.409)
N (0.322, 0.532, 0.409)
Lu (0.375, 0.625, 0.250)
Lu (0.875, 0.125, 0.250)
Nb (0.375, 0.250, 0.125)
N (0.591, 0.968, 0.678)
N (0.623, 0.032, 0.210)
N (0.091, 0.913, 0.123)
N (0.290, 0.413, 0.822)
Nb (0.375, 0.125, 0.750)
Lu (0.750, 0.375, 0.125)
N (0.123, 0.710, 0.532)
N (0.678, 0.468, 0.591)
N (0.468, 0.678, 0.091)
N (0.678, 0.210, 0.587)
Nb (0.125, 0.375, 0.250)
Nb (0.875, 0.250, 0.625)
N (0.909, 0.822, 0.532)
N (0.587, 0.710, 0.678)
Nb (0.625, 0.875, 0.250)
N (0.087, 0.178, 0.210)
Lu (0.250, 0.625, 0.875)
Nb (0.750, 0.625, 0.375)
N (0.909, 0.087, 0.877)
N (0.877, 0.587, 0.909)
Nb (0.125, 0.750, 0.375)
Nb (0.250, 0.875, 0.125)
Nb (0.000, 0.500, 0.500)